1.
VASP calculation (PBE+U) on Li2NiPdO4 after structural relaxation.

Computed properties:
total energy = -5.0305 eV/atom
magnetic moment = 0.0000 μB/atom
symmetry = P2/m (10)

Structure (extended XYZ):
```
8
Lattice="5.4188 0.0000 0.0000 0.0000 2.8827 0.0000 -2.5638 0.0000 5.0337" Properties=species:S:1:pos:R:3 pbc="T T T"
Li 0.0000 0.0000 0.0000
Li 1.4275 1.4413 2.5168
Ni -1.2819 0.0000 2.5168
Pd 2.7094 1.4413 0.0000
O -1.4936 1.4413 3.7843
O 1.7725 0.0000 1.0850
O 1.0825 0.0000 3.9487
O 4.3486 1.4413 1.2494
```

=====

2.
VASP calculation (PBE+U) on Li2PmNi2O4 after structural relaxation.

Computed properties:
total energy = -5.4193 eV/atom
magnetic moment = 0.3333 μB/atom
symmetry = C2/m (12)

Structure (extended XYZ):
```
9
Lattice="5.0823 -1.5810 0.0000 5.0823 1.5810 0.0000 -3.9686 0.0000 6.5579" Properties=species:S:1:pos:R:3 pbc="T T T"
Li -0.0638 0.0000 2.5997
Li 6.2598 0.0000 3.9581
Pm 5.0823 0.0000 0.0000
Ni 2.5315 0.0000 1.7886
Ni 3.6645 0.0000 4.7693
O -2.6532 0.0000 5.4514
O -0.0737 0.0000 4.4982
O 6.2697 0.0000 2.0597
O 8.8492 0.0000 1.1065
```

=====

3.
VASP calculation (PBE+U) on LiPm2NiO5 after structural relaxation.

Computed properties:
total energy = -6.5092 eV/atom
magnetic moment = 0.1117 μB/atom
symmetry = P4/mbm (127)

Structure (extended XYZ):
```
18
Lattice="6.6735 0.0000 0.0000 0.0000 6.6735 0.0000 0.0000 0.0000 5.5560" Properties=species:S:1:pos:R:3 pbc="T T T"
Li 0.0000 0.0000 0.0000
Li 3.3367 3.3367 0.0000
Pm 1.1837 2.1531 2.7780
Pm 2.1531 5.4898 2.7780
Pm 4.5204 1.1837 2.7780
Pm 5.4898 4.5204 2.7780
Ni 0.0000 3.3367 0.0000
Ni 3.3367 0.0000 0.0000
O 0.0000 0.0000 2.7780
O 0.8822 4.2189 1.3270
O 0.8822 4.2189 4.2290
O 2.4546 0.8822 1.3270
O 2.4546 0.8822 4.2290
O 3.3367 3.3367 2.7780
O 4.2189 5.7913 1.3270
O 4.2189 5.7913 4.2290
O 5.7913 2.4546 1.3270
O 5.7913 2.4546 4.2290
```

=====

4.
VASP calculation (PBE+U) on Li2NiPtO4 after structural relaxation.

Computed properties:
total energy = -5.1772 eV/atom
magnetic moment = 0.0001 μB/atom
symmetry = P2/m (10)
Fermi-level density of states = 0.0 states/eV/cell

Structure (extended XYZ):
```
8
Lattice="5.4405 0.0000 0.0000 0.0000 2.9239 0.0000 -2.5330 0.0000 5.0498" Properties=species:S:1:pos:R:3 pbc="T T T"
Li 0.0000 0.0000 0.0000
Li 1.4537 1.4620 2.5249
Ni -1.2665 0.0000 2.5249
Pt 2.7202 1.4620 0.0000
O -1.4510 1.4620 3.7985
O 1.7837 0.0000 1.0855
O 1.1238 0.0000 3.9643
O 4.3585 1.4620 1.2513
```

=====

5.
VASP calculation (PBE+U) on Li3Ni2PtO6 after structural relaxation.

Computed properties:
total energy = -5.1853 eV/atom
magnetic moment = 0.2475 μB/atom
symmetry = C2/m (12)
Fermi-level density of states = 4.7 states/eV/cell

Structure (extended XYZ):
```
12
Lattice="2.6074 -4.5126 0.0000 2.6074 4.5126 0.0000 -1.7628 0.0000 4.8008" Properties=species:S:1:pos:R:3 pbc="T T T"
Li 0.0000 0.0000 0.0000
Li 2.6074 1.5158 0.0000
Li 2.6074 -1.5158 0.0000
Ni 1.7260 3.0074 2.4004
Ni 1.7260 -3.0074 2.4004
Pt 1.7260 0.0000 2.4004
O 0.8819 1.4669 1.2836
O 0.0302 0.0000 3.5056
O 0.8819 -1.4669 1.2836
O 2.5702 1.4669 3.5172
O 3.4219 0.0000 1.2952
O 2.5702 -1.4669 3.5172
```

=====

6.
VASP calculation (PBE+U) on LiNiPtO4 after structural relaxation.

Computed properties:
total energy = -5.3576 eV/atom
magnetic moment = 0.1474 μB/atom
symmetry = Imma (74)
Fermi-level density of states = 5.9 states/eV/cell

Structure (extended XYZ):
```
14
Lattice="-2.9127 3.0821 4.3242 2.9127 -3.0821 4.3242 2.9127 3.0821 -4.3242" Properties=species:S:1:pos:R:3 pbc="T T T"
Li 0.0000 1.5410 1.2082
Li 2.9127 1.5410 3.1160
Ni 1.4563 1.5410 -2.1621
Ni 1.4563 -1.5410 2.1621
Pt 2.9127 0.0000 0.0000
Pt 0.0000 0.0000 4.3242
O 2.9127 -0.1996 1.9966
O 2.9127 2.8825 -1.9966
O 1.5795 1.5410 -0.0342
O 4.2458 1.5410 -0.0342
O -1.3332 1.5410 4.3583
O 1.3332 1.5410 4.3583
O 0.0000 0.1996 6.3208
O 0.0000 3.2816 2.3276
```